1.
! ErPd7Au2 (PBE-GGA, optimized geometry); values from VASP
&SYSTEM
  ibrav = 0, nat = 10, ntyp = 3
/
ATOMIC_SPECIES
Er 167.26 Er.upf
Pd 106.42 Pd.upf
Au 196.97 Au.upf
ATOMIC_POSITIONS angstrom
Er 0.0000 0.0000 0.0000
Pd 1.3124 1.4165 2.2308
Pd 3.6230 4.0824 0.0000
Pd 1.3124 -1.4165 2.2308
Pd 3.6230 0.0000 2.2308
Pd 5.9335 1.4165 2.2308
Pd 3.6230 -4.0824 0.0000
Pd 5.9335 -1.4165 2.2308
Au 3.6230 2.6949 2.2308
Au 3.6230 -2.6949 2.2308
CELL_PARAMETERS angstrom
3.6230 -6.7117 0.0000
3.6230 6.7117 0.0000
0.0000 0.0000 4.4615
! Calculated formation energy ... 0.08 eV per atom
! Total magnetization ... 0.00 μB per cell

2.
! Er7Pd2Au2 (PBE-GGA, optimized geometry); values from VASP
&SYSTEM
  ibrav = 0, nat = 11, ntyp = 3
/
ATOMIC_SPECIES
Er 167.26 Er.upf
Pd 106.42 Pd.upf
Au 196.97 Au.upf
ATOMIC_POSITIONS angstrom
Er 0.0000 0.0000 0.0000
Er 1.8828 2.9376 -1.0617
Er 1.8828 -2.0517 2.3952
Er 1.8828 2.0517 2.3952
Er 1.8828 5.9971 0.9095
Er 0.0000 4.8701 3.7101
Er 0.0000 1.8106 5.6813
Pd 0.0000 3.7646 0.8744
Pd 0.0000 11.8508 0.8744
Au 0.0000 0.0000 3.2988
Au 0.0000 7.8077 2.4666
CELL_PARAMETERS angstrom
-1.8828 7.8077 4.7718
1.8828 -7.8077 4.7718
1.8828 7.8077 -4.7718
! Calculated formation energy ... -0.66 eV per atom
! Total magnetization ... 0.00 μB per cell
! Energy above the lowest structure with this stoichiometry ... 0 meV per atom

3.
! ErPd2Au5 (PBE-GGA, optimized geometry); values from VASP
&SYSTEM
  ibrav = 0, nat = 16, ntyp = 3
/
ATOMIC_SPECIES
Er 167.26 Er.upf
Pd 106.42 Pd.upf
Au 196.97 Au.upf
ATOMIC_POSITIONS angstrom
Er 0.0000 0.0000 0.0000
Er 2.9311 5.8847 0.0000
Pd 1.4563 4.4327 2.0970
Pd 1.4748 10.3174 2.0970
Pd 4.3874 1.4520 2.0970
Pd 4.4059 7.3368 2.0970
Au 0.0000 5.8847 0.0000
Au 0.0031 8.8491 0.0000
Au 1.4402 7.3824 2.0970
Au 1.4909 1.4977 2.0970
Au 2.9280 2.9644 0.0000
Au 2.9311 0.0000 0.0000
Au 2.9342 8.8051 0.0000
Au 4.3713 10.2717 2.0970
Au 4.4220 4.3870 2.0970
Au 5.8591 2.9204 0.0000
CELL_PARAMETERS angstrom
5.8622 0.0000 0.0000
0.0000 11.7695 0.0000
0.0000 0.0000 4.1941
! Calculated formation energy ... -0.45 eV per atom
! Total magnetization ... 0.00 μB per cell